No. 1
An optimized crystal structure of Na2MgPd2, computed with PBE.

Properties
For the calculated volume, the calculation gives 19.25 Å³/atom. The value obtained for the formation energy from the elements is -2 kJ/mol of atoms. For the offset from the most stable computed form, the calculation gives 0.178 eV/atom. The calculation puts the mass density at 4.88 Mg/m³.

abc: 7.967 7.967 3.033
angles: 90.00 90.00 90.00
Sites, in units of the cell vectors:
Na 0.383 0.883 0.000
Na 0.883 0.617 0.000
Na 0.617 0.117 0.000
Na 0.117 0.383 0.000
Mg 0.000 0.000 0.000
Mg 0.500 0.500 0.000
Pd 0.186 0.686 0.500
Pd 0.686 0.814 0.500
Pd 0.814 0.314 0.500
Pd 0.314 0.186 0.500

No. 2
An optimized crystal structure of TaAl2Rh, computed with PBE.

Properties
For the calculated volume, the calculation gives 15.83 Å³/atom. The value obtained for the formation energy from the elements is -37 kJ/mol of atoms. The calculation puts the mass density at 8.86 Mg/m³.

abc: 8.806 8.806 8.806
angles: 19.01 19.01 19.01
Sites, in units of the cell vectors:
Rh 0.250 0.250 0.250
Al 0.993 0.993 0.993
Al 0.507 0.507 0.507
Ta 0.750 0.750 0.750

No. 3
An optimized crystal structure of CsRuBr4, computed with PBE.

Properties
For the calculated volume, the calculation gives 33.01 Å³/atom. The raw formation energy comes out at -632 meV/atom. The calculation puts the mass density at 4.64 Mg/m³.

abc: 5.521 7.764 10.508
angles: 111.68 107.43 90.00
Sites, in units of the cell vectors:
Cs 0.209 0.201 0.402
Cs 0.791 0.799 0.598
Ru 0.293 0.459 0.918
Ru 0.707 0.541 0.082
Br 0.849 0.323 0.646
Br 0.616 0.857 0.218
Br 0.000 0.702 0.000
Br 0.384 0.639 0.782
Br 0.151 0.677 0.354
Br 0.384 0.143 0.782
Br 0.000 0.298 0.000
Br 0.616 0.361 0.218

No. 4
An optimized crystal structure of YMgPtPb, computed with PBE.

Properties
For the calculated volume, the calculation gives 22.24 Å³/atom. The value obtained for the formation energy from the elements is -56 kJ/mol of atoms. The calculation puts the mass density at 9.62 Mg/m³.

abc: 5.011 5.011 5.011
angles: 60.00 60.00 60.00
Sites, in units of the cell vectors:
Pb 0.500 0.500 0.500
Y 0.250 0.250 0.250
Mg 0.750 0.750 0.750
Pt 0.000 0.000 0.000

No. 5
An optimized crystal structure of Th5MgSc4, computed with PBE.

Properties
For the calculated volume, the calculation gives 28.63 Å³/atom. The value obtained for the formation energy from the elements is 5 kJ/mol of atoms. The calculation puts the mass density at 7.91 Mg/m³.

abc: 3.444 3.444 24.135
angles: 90.00 90.00 90.00
Sites, in units of the cell vectors:
Th 0.500 0.500 0.103
Th 0.500 0.500 0.302
Th 0.500 0.500 0.500
Th 0.500 0.500 0.698
Th 0.500 0.500 0.897
Mg 0.000 0.000 0.000
Sc 0.000 0.000 0.203
Sc 0.000 0.000 0.401
Sc 0.000 0.000 0.599
Sc 0.000 0.000 0.797

No. 6
An optimized crystal structure of SrRh3Au, computed with PBE.

Properties
For the calculated volume, the calculation gives 24.39 Å³/atom. The value obtained for the formation energy from the elements is 80 kJ/mol of atoms. For the offset from the most stable computed form, the calculation gives 0.000 eV/atom. The calculation puts the mass density at 8.08 Mg/m³.

abc: 4.959 4.959 4.959
angles: 90.00 90.00 90.00
Sites, in units of the cell vectors:
Rh 0.000 0.500 0.000
Rh 0.000 0.000 0.500
Rh 0.500 0.000 0.000
Au 0.000 0.000 0.000
Sr 0.500 0.500 0.500

No. 7
An optimized crystal structure of Tm12NiAu6, computed with PBE.

Properties
For the calculated volume, the calculation gives 27.98 Å³/atom. The value obtained for the formation energy from the elements is -46 kJ/mol of atoms. The calculation puts the mass density at 10.21 Mg/m³.

abc: 8.206 8.206 8.206
angles: 98.65 98.65 98.65
Sites, in units of the cell vectors:
Tm 0.817 0.572 0.421
Tm 0.421 0.817 0.572
Tm 0.572 0.421 0.817
Tm 0.183 0.428 0.579
Tm 0.579 0.183 0.428
Tm 0.428 0.579 0.183
Tm 0.066 0.964 0.314
Tm 0.036 0.686 0.934
Tm 0.686 0.934 0.036
Tm 0.934 0.036 0.686
Tm 0.964 0.314 0.066
Tm 0.314 0.066 0.964
Ni 0.000 0.000 0.000
Au 0.695 0.868 0.375
Au 0.625 0.305 0.132
Au 0.132 0.625 0.305
Au 0.305 0.132 0.625
Au 0.375 0.695 0.868
Au 0.868 0.375 0.695

No. 8
An optimized crystal structure of KSr2H8Ir, computed with PBE.

Properties
For the calculated volume, the calculation gives 13.16 Å³/atom. The calculation puts the mass density at 4.36 Mg/m³. The energy comes out at -3.822 eV per atom.

abc: 5.079 5.079 7.066
angles: 90.00 90.00 120.00
Sites, in units of the cell vectors:
K 0.000 0.000 0.500
Sr 0.667 0.333 0.206
Sr 0.333 0.667 0.794
H 0.843 0.685 0.865
H 0.315 0.157 0.865
H 0.843 0.157 0.865
H 0.157 0.315 0.135
H 0.685 0.843 0.135
H 0.157 0.843 0.135
H 0.667 0.333 0.551
H 0.333 0.667 0.449
Ir 0.000 0.000 0.000